! ZrCo2Si2 | Alexandria | GGA-PBE | optimized geometry; values from VASP
&SYSTEM
  ibrav = 0, nat = 5, ntyp = 3
/
ATOMIC_SPECIES
Si 28.09 Si.upf
Co 58.93 Co.upf
Zr 91.22 Zr.upf
CELL_PARAMETERS angstrom
-3.767 -0.151 1.072
1.078 -0.907 3.658
-1.222 3.832 3.411
ATOMIC_POSITIONS crystal
Si 0.750 0.250 0.500
Si 0.250 0.750 0.500
Co 0.375 0.375 0.249
Co 0.625 0.625 0.751
Zr 0.000 0.000 0.000
! - magnetization (Bohr magnetons per cell) = 0.00
! - excess energy over the best structure of this formula in the dataset (meV/atom) = 222
! - symmetry = I4/mmm
! - calculated density (g/cm³) = 6.39
! - volume (A^3/atom) = 13.79
! - energy relative to the elements, uncorrected (eV/atom) = -0.586